First-principles (GGA-PBE) data for a geometry-optimized MoRh2Br structure, as listed in the Alexandria database.

Results
Crystal system: orthorhombic
Energy above the most stable polymorph in this dataset, eV/f.u.: 1.48
Density of states at the Fermi level, states/eV per atom: 0.798
Total DFT energy (no corrections), eV per atom: -6.26
Space group: Imm2
Total moment, Bohr magnetons per cell: 0.0

Cell: 5.644 5.644 5.644 Å, 149.76 133.36 56.60°
Sites, in units of the cell vectors:
Mo1 0.266 0.766 0.500
Rh1 0.035 0.035 0.000
Rh2 0.720 0.220 0.500
Br1 0.479 0.479 0.000